A plane-wave DFT calculation with PBE-GGA was carried out for crystalline EuCd2Pb at its relaxed geometry.

The space group is P4/mmm (No. 123) and the conventional cell measures 4.0348, 4.0348 and 7.0220 Å, with angles of 90.00, 90.00 and 90.00 degrees. Symmetry generates all atoms from Eu at (0.0000, 0.0000, 0.0000), Cd at (0.5000, 0.5000, 0.2614) and Pb at (0.0000, 0.0000, 0.5000).

The value obtained for the density of states at the Fermi level is 8.220 states/eV/f.u. For the relative energy among the computed polymorphs, the calculation gives 77 meV/atom. As for the total energy: -16.7 eV/f.u. Its formation energy is -222 meV/atom.

***

A plane-wave DFT calculation with PBE-GGA was carried out for crystalline EuCdPb4 at its relaxed geometry.

The space group is F-43m (No. 216) and the conventional cell measures 9.2082, 9.2082 and 9.2082 Å, with angles of 90.00, 90.00 and 90.00 degrees. Symmetry generates all atoms from Eu at (0.0000, 0.0000, 0.0000), Cd at (0.2500, 0.2500, 0.2500) and Pb at (0.1254, 0.1254, 0.6254).

The value obtained for the density of states at the Fermi level is 16.304 states/eV/f.u. As for the total energy: -26.5 eV/f.u. Its formation energy is -85 meV/atom.

***

A plane-wave DFT calculation with PBE-GGA was carried out for crystalline Eu2CdPb at its relaxed geometry.

The space group is Fm-3m (No. 225) and the conventional cell measures 7.9439, 7.9439 and 7.9439 Å, with angles of 90.00, 90.00 and 90.00 degrees. Symmetry generates all atoms from Eu at (0.2500, 0.2500, 0.2500), Cd at (0.0000, 0.0000, 0.0000) and Pb at (0.0000, 0.0000, 0.5000).

The value obtained for the density of states at the Fermi level is 17.331 states/eV/f.u. As for the total energy: -27.2 eV/f.u. Its formation energy is -510 meV/atom.

***

A plane-wave DFT calculation with PBE-GGA was carried out for crystalline PmEuCdPb at its relaxed geometry.

The space group is F-43m (No. 216) and the conventional cell measures 7.8181, 7.8181 and 7.8181 Å, with angles of 90.00, 90.00 and 90.00 degrees. Symmetry generates all atoms from Pm at (0.0000, 0.0000, 0.0000), Eu at (0.0000, 0.0000, 0.5000), Cd at (0.2500, 0.2500, 0.7500) and Pb at (0.2500, 0.2500, 0.2500).

The value obtained for the density of states at the Fermi level is 2.610 states/eV/f.u. As for the total energy: -21.4 eV/f.u. Its formation energy is -441 meV/atom.

***

A plane-wave DFT calculation with PBE-GGA was carried out for crystalline EuPuCdPb at its relaxed geometry.

The space group is F-43m (No. 216) and the conventional cell measures 7.8287, 7.8287 and 7.8287 Å, with angles of 90.00, 90.00 and 90.00 degrees. Symmetry generates all atoms from Eu at (0.0000, 0.0000, 0.0000), Pu at (0.0000, 0.0000, 0.5000), Cd at (0.2500, 0.2500, 0.2500) and Pb at (0.2500, 0.2500, 0.7500).

The value obtained for the density of states at the Fermi level is 23.185 states/eV/f.u. As for the total energy: -30.1 eV/f.u. Its formation energy is -221 meV/atom.

***

A plane-wave DFT calculation with PBE-GGA was carried out for crystalline RbEuCdPb at its relaxed geometry.

The space group is F-43m (No. 216) and the conventional cell measures 8.3055, 8.3055 and 8.3055 Å, with angles of 90.00, 90.00 and 90.00 degrees. Symmetry generates all atoms from Rb at (0.0000, 0.0000, 0.0000), Eu at (0.0000, 0.0000, 0.5000), Cd at (0.2500, 0.2500, 0.7500) and Pb at (0.2500, 0.2500, 0.2500).

The value obtained for the density of states at the Fermi level is 15.040 states/eV/f.u. As for the total energy: -16.3 eV/f.u. Its formation energy is -119 meV/atom.

***

A plane-wave DFT calculation with PBE-GGA was carried out for crystalline SrEuCdPb at its relaxed geometry.

The space group is F-43m (No. 216) and the conventional cell measures 8.0613, 8.0613 and 8.0613 Å, with angles of 90.00, 90.00 and 90.00 degrees. Symmetry generates all atoms from Sr at (0.0000, 0.0000, 0.0000), Eu at (0.0000, 0.0000, 0.5000), Cd at (0.2500, 0.2500, 0.7500) and Pb at (0.2500, 0.2500, 0.2500).

The value obtained for the density of states at the Fermi level is 9.980 states/eV/f.u. As for the total energy: -18.6 eV/f.u. Its formation energy is -502 meV/atom.

***

A plane-wave DFT calculation with PBE-GGA was carried out for crystalline TbEuCdPb at its relaxed geometry.

The space group is F-43m (No. 216) and the conventional cell measures 7.7431, 7.7431 and 7.7431 Å, with angles of 90.00, 90.00 and 90.00 degrees. Symmetry generates all atoms from Tb at (0.0000, 0.0000, 0.0000), Eu at (0.0000, 0.0000, 0.5000), Cd at (0.2500, 0.2500, 0.7500) and Pb at (0.2500, 0.2500, 0.2500).

The value obtained for the density of states at the Fermi level is 2.887 states/eV/f.u. As for the total energy: -21.2 eV/f.u. Its formation energy is -417 meV/atom.

***

A plane-wave DFT calculation with PBE-GGA was carried out for crystalline EuThCdPb at its relaxed geometry.

The space group is F-43m (No. 216) and the conventional cell measures 7.8289, 7.8289 and 7.8289 Å, with angles of 90.00, 90.00 and 90.00 degrees. Symmetry generates all atoms from Eu at (0.0000, 0.0000, 0.0000), Th at (0.0000, 0.0000, 0.5000), Cd at (0.2500, 0.2500, 0.2500) and Pb at (0.2500, 0.2500, 0.7500).

The value obtained for the density of states at the Fermi level is 4.111 states/eV/f.u. As for the total energy: -23.3 eV/f.u. Its formation energy is -236 meV/atom.

***

A plane-wave DFT calculation with PBE-GGA was carried out for crystalline EuTlCdPb at its relaxed geometry.

The space group is F-43m (No. 216) and the conventional cell measures 7.7514, 7.7514 and 7.7514 Å, with angles of 90.00, 90.00 and 90.00 degrees. Symmetry generates all atoms from Eu at (0.0000, 0.0000, 0.0000), Tl at (0.2500, 0.2500, 0.7500), Cd at (0.0000, 0.0000, 0.5000) and Pb at (0.2500, 0.2500, 0.2500).

The value obtained for the density of states at the Fermi level is 2.810 states/eV/f.u. As for the total energy: -18.3 eV/f.u. Its formation energy is -257 meV/atom.

***

A plane-wave DFT calculation with PBE-GGA was carried out for crystalline EuYCdPb at its relaxed geometry.

The space group is F-43m (No. 216) and the conventional cell measures 7.7356, 7.7356 and 7.7356 Å, with angles of 90.00, 90.00 and 90.00 degrees. Symmetry generates all atoms from Eu at (0.0000, 0.0000, 0.0000), Y at (0.0000, 0.0000, 0.5000), Cd at (0.2500, 0.2500, 0.2500) and Pb at (0.2500, 0.2500, 0.7500).

The value obtained for the density of states at the Fermi level is 2.984 states/eV/f.u. As for the total energy: -23.1 eV/f.u. Its formation energy is -429 meV/atom.

***

A plane-wave DFT calculation with PBE-GGA was carried out for crystalline EuCdPd at its relaxed geometry.

The space group is F-43m (No. 216) and the conventional cell measures 6.8653, 6.8653 and 6.8653 Å, with angles of 90.00, 90.00 and 90.00 degrees. Symmetry generates all atoms from Eu at (0.0000, 0.0000, 0.0000), Cd at (0.0000, 0.0000, 0.5000) and Pd at (0.2500, 0.2500, 0.2500).

The value obtained for the density of states at the Fermi level is 10.681 states/eV/f.u. As for the total energy: -17.8 eV/f.u. Its formation energy is -482 meV/atom.